The following is a PBE calculation of a geometry-optimized CdRh3O structure, from Alexandria via LeMat-Bulk.

Geometry as POSCAR:
```
CdRh3O
1.0
-4.097 0.242 2.797
1.567 -3.909 2.633
2.329 3.055 3.149
Cd Rh O
1 3 1
Cartesian
0.000 0.000 0.000 Cd
0.783 -1.954 1.317 Rh
-2.049 0.121 1.398 Rh
1.165 1.527 1.574 Rh
-0.101 -0.306 4.289 O
```

## Properties
Space group = Pm-3m
Spin magnetization = 1.020 μB per atom
ΔE_f (raw) = 2.153 eV per atom
Crystal system = cubic
D(E_F) = 6.5 states/eV per cell